No. 1
# Sc2AlS, single point on PBEsol structure, DFT SCAN
# uncorrected energy	-12.2001	eV per atom
# calculated density	3.137	g/cm³
# uncorrected formation energy	-2.946	eV per formula unit
# total magnetic moment	0.1	μB/cell
# calculated volume	315	Å³ per cell
data_Sc2AlS
_chemical_formula_sum 'Sc8 Al4 S4'
_space_group_name_H-M_alt 'I -4 2 d'
_space_group_IT_number 122
_space_group_name_Hall 'I -4 2bw'
_cell_length_a 7.144
_cell_length_b 7.144
_cell_length_c 6.179
_cell_angle_alpha 90.00
_cell_angle_beta 90.00
_cell_angle_gamma 90.00
loop_
_atom_site_label
_atom_site_type_symbol
_atom_site_fract_x
_atom_site_fract_y
_atom_site_fract_z
Sc1 Sc 0.213 0.750 0.125
Al1 Al 0.000 0.000 0.500
S1 S 0.000 0.000 0.000



No. 2
# TaBe2Hg, single point on PBEsol structure, DFT SCAN
# calculated formation energy	678	meV/atom
# uncorrected energy	-35.1862	eV per atom
# calculated density	11.275	g/cm³
# total magnetic moment	1.0	μB/cell
# calculated volume	235	Å³ per cell
data_TaBe2Hg
_chemical_formula_sum 'Ta4 Be8 Hg4'
_space_group_name_H-M_alt 'F -4 3 m'
_space_group_IT_number 216
_space_group_name_Hall 'F -4 2 3'
_cell_length_a 6.174
_cell_length_b 6.174
_cell_length_c 6.174
_cell_angle_alpha 90.00
_cell_angle_beta 90.00
_cell_angle_gamma 90.00
loop_
_atom_site_label
_atom_site_type_symbol
_atom_site_fract_x
_atom_site_fract_y
_atom_site_fract_z
Ta1 Ta 0.000 0.000 0.000
Be1 Be 0.000 0.000 0.500
Be2 Be 0.250 0.250 0.750
Hg1 Hg 0.250 0.250 0.250



No. 3
# Al4RhSe, single point on PBEsol structure, DFT SCAN
# uncorrected energy	-13.9496	eV per atom
# calculated density	4.962	g/cm³
# uncorrected formation energy	1.160	eV per formula unit
# total magnetic moment	0.0	μB/cell
# calculated volume	388	Å³ per cell
data_Al4RhSe
_chemical_formula_sum 'Al16 Rh4 Se4'
_space_group_name_H-M_alt 'F -4 3 m'
_space_group_IT_number 216
_space_group_name_Hall 'F -4 2 3'
_cell_length_a 7.293
_cell_length_b 7.293
_cell_length_c 7.293
_cell_angle_alpha 90.00
_cell_angle_beta 90.00
_cell_angle_gamma 90.00
loop_
_atom_site_label
_atom_site_type_symbol
_atom_site_fract_x
_atom_site_fract_y
_atom_site_fract_z
Al1 Al 0.125 0.125 0.125
Rh1 Rh 0.250 0.250 0.750
Se1 Se 0.000 0.000 0.500



No. 4
# Al2RhBr, single point on PBEsol structure, DFT SCAN
# uncorrected energy	-16.8322	eV per atom
# calculated density	5.836	g/cm³
# uncorrected formation energy	1.406	eV per formula unit
# total magnetic moment	0.0	μB/cell
# calculated volume	135	Å³ per cell
data_Al2RhBr
_chemical_formula_sum 'Al4 Rh2 Br2'
_space_group_name_H-M_alt 'I -4 m 2'
_space_group_IT_number 119
_space_group_name_Hall 'I -4 -2'
_cell_length_a 4.041
_cell_length_b 4.041
_cell_length_c 8.252
_cell_angle_alpha 90.00
_cell_angle_beta 90.00
_cell_angle_gamma 90.00
loop_
_atom_site_label
_atom_site_type_symbol
_atom_site_fract_x
_atom_site_fract_y
_atom_site_fract_z
Al1 Al 0.000 0.000 0.000
Al2 Al 0.000 0.500 0.250
Rh1 Rh 0.000 0.500 0.750
Br1 Br 0.000 0.000 0.500



No. 5
# TlAs2Ru, single point on PBEsol structure, DFT SCAN
# calculated formation energy	646	meV/atom
# uncorrected energy	-36.2456	eV per atom
# calculated density	10.567	g/cm³
# total magnetic moment	0.0	μB/cell
# calculated volume	143	Å³ per cell
data_TlAs2Ru
_chemical_formula_sum 'Tl2 As4 Ru2'
_space_group_name_H-M_alt 'I -4 m 2'
_space_group_IT_number 119
_space_group_name_Hall 'I -4 -2'
_cell_length_a 4.242
_cell_length_b 4.242
_cell_length_c 7.954
_cell_angle_alpha 90.00
_cell_angle_beta 90.00
_cell_angle_gamma 90.00
loop_
_atom_site_label
_atom_site_type_symbol
_atom_site_fract_x
_atom_site_fract_y
_atom_site_fract_z
Tl1 Tl 0.000 0.000 0.000
As1 As 0.000 0.000 0.500
As2 As 0.000 0.500 0.250
Ru1 Ru 0.000 0.500 0.750



No. 6
# Tb3Tl5, single point on PBEsol structure, DFT SCAN
# calculated formation energy	-498	meV/atom
# uncorrected energy	-63.2574	eV per atom
# calculated density	12.122	g/cm³
# total magnetic moment	0.0	μB/cell
# calculated volume	821	Å³ per cell
data_Tb3Tl5
_chemical_formula_sum 'Tb12 Tl20'
_space_group_name_H-M_alt 'C m c m'
_space_group_IT_number 63
_space_group_name_Hall '-C 2c 2'
_cell_length_a 9.943
_cell_length_b 8.006
_cell_length_c 10.317
_cell_angle_alpha 90.00
_cell_angle_beta 90.00
_cell_angle_gamma 90.00
loop_
_atom_site_label
_atom_site_type_symbol
_atom_site_fract_x
_atom_site_fract_y
_atom_site_fract_z
Tb1 Tb 0.000 0.113 0.250
Tb2 Tb 0.206 0.500 0.000
Tl1 Tl 0.000 0.197 0.539
Tl2 Tl 0.000 0.499 0.750
Tl3 Tl 0.221 0.212 0.750



No. 7
# GaH2PtAu, single point on PBEsol structure, DFT SCAN
# uncorrected energy	-32.5408	eV per atom
# calculated density	11.579	g/cm³
# total magnetic moment	0.0	μB/cell
# calculated volume	67	Å³ per cell
data_GaH2PtAu
_chemical_formula_sum 'Ga1 H2 Pt1 Au1'
_space_group_name_H-M_alt 'P 4/m m m'
_space_group_IT_number 123
_space_group_name_Hall '-P 4 2'
_cell_length_a 3.481
_cell_length_b 3.481
_cell_length_c 5.489
_cell_angle_alpha 90.00
_cell_angle_beta 90.00
_cell_angle_gamma 90.00
loop_
_atom_site_label
_atom_site_type_symbol
_atom_site_fract_x
_atom_site_fract_y
_atom_site_fract_z
Ga1 Ga 0.000 0.000 0.000
H1 H 0.000 0.500 0.500
Pt1 Pt 0.500 0.500 0.000
Au1 Au 0.500 0.500 0.500



No. 8
# LiPSe2, single point on PBEsol structure, DFT SCAN
# uncorrected energy	-13.4123	eV per atom
# calculated density	4.319	g/cm³
# uncorrected formation energy	-0.704	eV per formula unit
# total magnetic moment	0.0	μB/cell
# calculated volume	151	Å³ per cell
data_LiPSe2
_chemical_formula_sum 'Li2 P2 Se4'
_space_group_name_H-M_alt 'I m m 2'
_space_group_IT_number 44
_space_group_name_Hall 'I 2 -2'
_cell_length_a 3.417
_cell_length_b 3.685
_cell_length_c 11.961
_cell_angle_alpha 90.00
_cell_angle_beta 90.00
_cell_angle_gamma 90.00
loop_
_atom_site_label
_atom_site_type_symbol
_atom_site_fract_x
_atom_site_fract_y
_atom_site_fract_z
Li1 Li 0.000 0.000 0.000
P1 P 0.000 0.500 0.759
Se1 Se 0.000 0.000 0.412
Se2 Se 0.000 0.500 0.171